[1]
The following is a DFT calculation (PBEsol) of a relaxed structure of Ca2Ir3.

abc: 4.5065 4.5065 16.5889
angles: 90.00 90.00 120.00
With the nearest neighbours (Å) after each atom.
Space group R-3m (No. 166, hexagonal axes)
One atom of each set of equivalent atoms:
Ca: 0.0000 0.0000 0.1005 (multiplicity 6)  6 Ir 2.82-2.98
Ir: 0.0000 0.0000 0.3460 (multiplicity 6)  4 Ir 2.55-2.64
Ir: 0.0000 0.0000 0.5000 (multiplicity 3)  2 Ir 2.55, 6 Ca 2.82

---

[2]
The following is a DFT calculation (PBEsol) of a relaxed structure of Ca3Ir.

abc: 7.7142 9.1233 6.2574
angles: 90.00 90.00 90.00
With the nearest neighbours (Å) after each atom.
Space group Pnma (No. 62)
One atom of each set of equivalent atoms:
Ca: 0.0392 0.2500 0.1310 (multiplicity 4)  2 Ir 2.82-2.91
Ca: 0.1674 0.0649 0.6525 (multiplicity 8)  3 Ir 2.90-3.15
Ir: 0.1259 0.7500 0.4517 (multiplicity 4)  8 Ca 2.82-3.15

---

[3]
The following is a DFT calculation (PBEsol) of a relaxed structure of Ca3Ir.

abc: 4.6148 4.6148 4.6148
angles: 90.00 90.00 90.00
With the nearest neighbours (Å) after each atom.
Space group Pm-3m (No. 221)
One atom of each set of equivalent atoms:
Ca: 0.0000 0.0000 0.5000 (multiplicity 3)  4 Ir 3.26, 8 Ca 3.26
Ir: 0.5000 0.5000 0.5000 (multiplicity 1)  12 Ca 3.26

---

[4]
The following is a DFT calculation (PBEsol) of a relaxed structure of Ca3Ir.

abc: 4.0675 4.0675 27.8942
angles: 90.00 90.00 120.00
With the nearest neighbours (Å) after each atom.
Space group R-3m (No. 166, hexagonal axes)
One atom of each set of equivalent atoms:
Ca: 0.0000 0.0000 0.0000 (multiplicity 3)  12 Ca 3.98-4.07
Ca: 0.0000 0.0000 0.2181 (multiplicity 6)  3 Ir 2.75
Ir: 0.0000 0.0000 0.5000 (multiplicity 3)  6 Ca 2.75

---

[5]
The following is a DFT calculation (PBEsol) of a relaxed structure of CaIr3.

abc: 9.3554 2.7680 5.0209
angles: 90.00 99.56 90.00
With the nearest neighbours (Å) after each atom.
Space group C2/m (No. 12)
One atom of each set of equivalent atoms:
Ca: 0.0000 0.0000 0.0000 (multiplicity 2)  2 Ca 2.77, 10 Ir 2.85-2.96
Ir: 0.0000 0.5000 0.5000 (multiplicity 2)  8 Ir 2.70-2.82, 4 Ca 2.87
Ir: 0.2393 0.0000 0.7140 (multiplicity 4)  7 Ir 2.59-2.82, 1 Ca 2.85

---

[6]
The following is a DFT calculation (PBEsol) of a relaxed structure of CaIr3.

abc: 3.9668 3.9668 7.9713
angles: 90.00 90.00 90.00
With the nearest neighbours (Å) after each atom.
Space group I4/mmm (No. 139)
One atom of each set of equivalent atoms:
Ca: 0.0000 0.0000 0.0000 (multiplicity 2)  12 Ir 2.80-2.81
Ir: 0.0000 0.0000 0.5000 (multiplicity 2)  4 Ca 2.80, 8 Ir 2.81
Ir: 0.0000 0.5000 0.2500 (multiplicity 4)  8 Ir 2.80-2.81, 4 Ca 2.81

---

[7]
The following is a DFT calculation (PBEsol) of a relaxed structure of Ca3Ir.

abc: 3.4010 5.0087 13.9802
angles: 90.00 90.00 90.00
With the nearest neighbours (Å) after each atom.
Space group Immm (No. 71)
One atom of each set of equivalent atoms:
Ca: 0.0000 0.0000 0.0000 (multiplicity 2)  4 Ir 3.03, 4 Ca 3.38
Ca: 0.0000 0.5000 0.1626 (multiplicity 4)  2 Ir 2.84
Ir: 0.0000 0.0000 0.5000 (multiplicity 2)  8 Ca 2.84-3.03

---

[8]
The following is a DFT calculation (PBEsol) of a relaxed structure of K2CaIr.

Computed properties:
Its relative energy among the computed polymorphs is 0.0 kJ/mol of formula units.

abc: 7.5046 7.5046 7.5046
angles: 90.00 90.00 90.00
With the nearest neighbours (Å) after each atom.
Space group F-43m (No. 216)
One atom of each set of equivalent atoms:
K: 0.0000 0.0000 0.0000 (multiplicity 4)  4 K 3.25, 4 Ir 3.25
K: 0.2500 0.2500 0.2500 (multiplicity 4)  4 Ca 3.25, 4 K 3.25
Ca: 0.0000 0.0000 0.5000 (multiplicity 4)  4 K 3.25, 4 Ir 3.25
Ir: 0.2500 0.2500 0.7500 (multiplicity 4)  4 K 3.25, 4 Ca 3.25

---

[9]
The following is a DFT calculation (PBEsol) of a relaxed structure of K2CaIr.

Computed properties:
Its relative energy among the computed polymorphs is 59.8 kJ/mol of formula units.

abc: 5.9837 12.0312 3.8005
angles: 90.00 125.67 90.00
With the nearest neighbours (Å) after each atom.
Space group C2/m (No. 12)
One atom of each set of equivalent atoms:
K: 0.2500 0.2500 0.0000 (multiplicity 4)  4 K 2.99-3.18
Ca: 0.0000 0.0000 0.5000 (multiplicity 2)  4 Ir 2.99-3.18
Ir: 0.0000 0.5000 0.5000 (multiplicity 2)  4 Ca 2.99-3.18

---

[10]
The following is a DFT calculation (PBEsol) of a relaxed structure of KCaMg2Ir.

abc: 5.2726 5.2726 5.0825
angles: 90.00 90.00 90.00
With the nearest neighbours (Å) after each atom.
Space group P4/mmm (No. 123)
One atom of each set of equivalent atoms:
K: 0.0000 0.0000 0.0000 (multiplicity 1)  2 Ir 2.54, 4 Mg 2.64
Ca: 0.5000 0.5000 0.5000 (multiplicity 1)  8 Mg 3.66, 4 Ir 3.73
Mg: 0.0000 0.5000 0.0000 (multiplicity 2)  2 K 2.64
Ir: 0.0000 0.0000 0.5000 (multiplicity 1)  2 K 2.54

---

[11]
The following is a DFT calculation (PBEsol) of a relaxed structure of CaLaIr.

Computed properties:
Its relative energy among the computed polymorphs is 17.2 kJ/mol of formula units.

abc: 4.1265 4.1265 6.4167
angles: 90.00 90.00 120.00
With the nearest neighbours (Å) after each atom.
Space group P3m1 (No. 156)
One atom of each set of equivalent atoms:
Ca: 0.0000 0.0000 0.0000 (multiplicity 1)  3 Ir 2.86
La: 0.6667 0.3333 0.5366 (multiplicity 1)  3 Ir 2.76
Ir: 0.3333 0.6667 0.7529 (multiplicity 1)  3 La 2.76, 3 Ca 2.86

---

[12]
The following is a DFT calculation (PBEsol) of a relaxed structure of CaLa2Ir.

Computed properties:
Its relative energy among the computed polymorphs is 0.0 kJ/mol of formula units.

abc: 4.1330 4.1330 29.0251
angles: 90.00 90.00 120.00
With the nearest neighbours (Å) after each atom.
Space group R-3m (No. 166, hexagonal axes)
One atom of each set of equivalent atoms:
Ca: 0.0000 0.0000 0.0000 (multiplicity 3)  6 La 4.09, 6 Ca 4.13
La: 0.0000 0.0000 0.2190 (multiplicity 6)  3 Ir 2.83
Ir: 0.0000 0.0000 0.5000 (multiplicity 3)  6 La 2.83

---

[13]
The following is a DFT calculation (PBEsol) of a relaxed structure of CaLaIr.

Computed properties:
Its relative energy among the computed polymorphs is 0.0 kJ/mol of formula units.

abc: 6.8812 6.8812 6.8812
angles: 90.00 90.00 90.00
With the nearest neighbours (Å) after each atom.
Space group F-43m (No. 216)
One atom of each set of equivalent atoms:
Ca: 0.0000 0.0000 0.0000 (multiplicity 4)  4 Ir 2.98
La: 0.0000 0.0000 0.5000 (multiplicity 4)  4 Ir 2.98
Ir: 0.2500 0.2500 0.7500 (multiplicity 4)  4 La 2.98, 4 Ca 2.98

---

[14]
The following is a DFT calculation (PBEsol) of a relaxed structure of CaLa2Ir.

Computed properties:
Its relative energy among the computed polymorphs is 21.1 kJ/mol of formula units.

abc: 3.8514 5.6599 10.6528
angles: 90.00 90.00 90.00
With the nearest neighbours (Å) after each atom.
Space group Immm (No. 71)
One atom of each set of equivalent atoms:
Ca: 0.0000 0.0000 0.0000 (multiplicity 2)  4 Ir 3.42, 4 La 3.47
La: 0.0000 0.5000 0.1886 (multiplicity 4)  2 Ir 2.78
Ir: 0.0000 0.0000 0.5000 (multiplicity 2)  4 La 2.78

---

no.,DOS at the Fermi energy (states/eV/cell),energy relative to the elements (eV per atom)
1,17.63,-0.047
2,6.38,-0.281
3,3.87,0.069
4,7.84,0.068
5,6.30,0.064
6,5.25,0.177
7,5.66,-0.121
8,12.77,0.552
9,4.20,0.707
10,3.84,1.243
11,0.94,-0.353
12,11.63,-0.372
13,5.73,-0.412
14,7.29,-0.317